(1)
A plane-wave DFT calculation with GGA-PBE was carried out for a relaxed MgZnSe crystal.

abc: 4.491 4.491 3.671
angles: 90.00 90.00 119.96
Atoms (fractional coordinates):
Se  0.000  0.000  0.000
Zn  0.333  0.667  0.500
Mg  0.667  0.333  0.500

Properties
Formation energy without anion corrections   -0.04 eV per atom
Total moment   0.0 μB per formula unit
Relative energy among the computed polymorphs   571 meV/atom

(2)
A plane-wave DFT calculation with GGA-PBE was carried out for a relaxed Mg2Zn2Se crystal.

abc: 7.177 7.177 7.177
angles: 133.94 120.43 78.44
Atoms (fractional coordinates):
Zn  0.588  0.946  0.358
Zn  0.412  0.054  0.642
Zn  0.088  0.230  0.142
Zn  0.912  0.770  0.858
Mg  0.331  0.499  0.168
Mg  0.669  0.501  0.832
Mg  0.831  0.163  0.332
Mg  0.169  0.837  0.668
Se  0.250  0.500  0.750
Se  0.750  0.500  0.250

Properties
Formation energy without anion corrections   -0.17 eV per atom
Total moment   0.0 μB per formula unit
Relative energy among the computed polymorphs   177 meV/atom

(3)
A plane-wave DFT calculation with GGA-PBE was carried out for a relaxed MgZnSe crystal.

abc: 5.130 3.993 12.565
angles: 90.00 90.00 90.00
Atoms (fractional coordinates):
Mg  0.750  0.800  0.563
Mg  0.750  0.200  0.063
Mg  0.250  0.200  0.437
Mg  0.250  0.800  0.937
Se  0.250  0.296  0.084
Se  0.750  0.704  0.916
Se  0.750  0.296  0.416
Se  0.250  0.704  0.584
Zn  0.000  0.196  0.750
Zn  0.500  0.804  0.250
Zn  0.500  0.196  0.750
Zn  0.000  0.804  0.250

Properties
Formation energy without anion corrections   -0.53 eV per atom
Total moment   0.0 μB per formula unit
Relative energy among the computed polymorphs   80 meV/atom